50
Lattice="6.712 0.000 0.000 0.000 15.009 0.000 0.000 -7.505 12.998" Properties=species:S:1:pos:R:3 comment="Nd15Ge9C | Alexandria | PBEsol | optimized geometry" formation_energy_mev_per_atom=-726 magnetic_moment_mub_per_atom=0.000 pbc="T T T"
Nd 6.697 10.012 0.305
Nd 6.697 2.762 4.175
Nd 6.697 9.739 8.518
Nd 6.697 12.247 4.175
Nd 6.697 5.270 8.518
Nd 6.697 4.997 0.305
Nd 3.341 -2.508 12.693
Nd 3.341 4.742 8.823
Nd 3.341 -2.235 4.480
Nd 3.341 -4.742 8.823
Nd 3.341 2.235 4.480
Nd 3.341 2.508 12.693
Nd 1.818 5.717 5.365
Nd 1.818 9.292 5.365
Nd 1.818 7.505 2.269
Nd 5.174 1.787 7.634
Nd 5.174 -1.787 7.634
Nd 5.174 0.000 10.729
Nd 4.787 9.273 3.312
Nd 4.787 5.736 3.312
Nd 4.787 7.505 6.375
Nd 1.431 -1.769 9.687
Nd 1.431 1.769 9.687
Nd 1.431 0.000 6.623
Nd 1.825 13.198 1.046
Nd 1.825 1.811 1.046
Nd 1.825 7.505 10.907
Nd 5.181 -5.694 11.953
Nd 5.181 5.694 11.953
Nd 5.181 0.000 2.091
Ge 4.763 12.018 1.727
Ge 4.763 2.991 1.727
Ge 4.763 7.505 9.544
Ge 1.407 -4.513 11.271
Ge 1.407 4.513 11.271
Ge 1.407 0.000 3.454
Ge 4.899 4.476 6.082
Ge 4.899 10.533 6.082
Ge 4.899 7.505 0.835
Ge 1.543 3.029 6.917
Ge 1.543 -3.029 6.917
Ge 1.543 0.000 12.163
Ge 2.015 10.564 2.566
Ge 2.015 4.445 2.566
Ge 2.015 7.505 7.865
Ge 5.371 -3.059 10.432
Ge 5.371 3.059 10.432
Ge 5.371 0.000 5.133
C 3.326 7.505 4.333
C 6.682 0.000 8.665

=====

4
Lattice="-2.003 3.116 -2.187 3.213 -1.694 -5.358 -5.338 -4.836 2.230" Properties=species:S:1:pos:R:3 comment="Ba2LiCa | Alexandria | PBEsol | optimized geometry" formation_energy_mev_per_atom=50 de_polymorph_ev_per_fu=0.08 magnetic_moment_mub_per_atom=0.000 pbc="T T T"
Ca 0.238 0.392 -3.892
Ba -3.798 -3.126 -5.208
Ba -3.435 -0.564 -1.888
Li -0.657 -2.818 -3.415

=====

5
Lattice="4.458 0.000 0.000 0.000 4.458 0.000 0.000 0.000 4.458" Properties=species:S:1:pos:R:3 comment="CaMn3Ni | Alexandria | PBEsol | optimized geometry" formation_energy_mev_per_atom=2232 de_polymorph_ev_per_fu=7.57 magnetic_moment_mub_per_atom=2.193 pbc="T T T"
Ni 2.229 2.229 2.229
Ca 0.000 0.000 0.000
Mn 0.000 2.229 0.000
Mn 0.000 0.000 2.229
Mn 2.229 0.000 0.000

=====

Number 1: electronic total energy -5.990 eV per atom. Number 2: electronic total energy -2.049 eV per atom. Number 3: electronic total energy -5.283 eV per atom.